# 1
{
  "formula": "BaCu2Hg2",
  "functional": "PBE",
  "state": "relaxed",
  "formation_energy_ev_per_atom": -0.14,
  "magnetic_moment_mub_per_cell": 0.0,
  "sg": "I4/mmm",
  "de_polymorph_mev_per_atom": 0.0,
  "cell": [[-2.364, 2.364, 5.459], [2.364, -2.364, 5.459], [2.364, 2.364, -5.459]],
  "species": ["Ba", "Cu", "Cu", "Hg", "Hg"],
  "frac_coords": [[0.000, 0.000, 0.000], [0.388, 0.388, 0.000], [0.612, 0.612, 0.000], [0.250, 0.750, 0.500], [0.750, 0.250, 0.500]]
}



# 2
{
  "formula": "BaCu2Hg",
  "functional": "PBE",
  "state": "relaxed",
  "formation_energy_ev_per_atom": 0.04,
  "magnetic_moment_mub_per_cell": 0.0,
  "sg": "Imm2",
  "cell": [[-2.250, 3.030, 3.907], [2.250, -3.030, 3.907], [2.250, 3.030, -3.907]],
  "species": ["Ba", "Cu", "Cu", "Hg"],
  "frac_coords": [[0.000, 0.000, 0.000], [0.551, 0.551, 0.000], [0.677, 0.177, 0.500], [0.325, 0.825, 0.500]]
}



# 3
{
  "formula": "BaCu2Hg",
  "functional": "PBE",
  "state": "relaxed",
  "formation_energy_ev_per_atom": -0.02,
  "magnetic_moment_mub_per_cell": 0.0,
  "sg": "I4_1/amd",
  "cell": [[-2.478, 2.478, 9.224], [2.478, -2.478, 9.224], [2.478, 2.478, -9.224]],
  "species": ["Ba", "Ba", "Cu", "Cu", "Cu", "Cu", "Hg", "Hg"],
  "frac_coords": [[0.375, 0.625, 0.750], [0.625, 0.375, 0.250], [0.000, 0.000, 0.000], [0.000, 0.000, 0.500], [0.000, 0.500, 0.000], [0.500, 0.000, 0.500], [0.125, 0.875, 0.250], [0.875, 0.125, 0.750]]
}